The following is a PBE calculation of a relaxed KRb2WBr6 crystal, from the Alexandria database.

```
data_KRb2WBr6
_space_group_name_H-M_alt 'F m -3 m'
_space_group_IT_number 225
_space_group_name_Hall '-F 4 2 3'
_cell_length_a 11.4511
_cell_length_b 11.4511
_cell_length_c 11.4511
_cell_angle_alpha 90.00
_cell_angle_beta 90.00
_cell_angle_gamma 90.00
loop_
_atom_site_label
_atom_site_fract_x
_atom_site_fract_y
_atom_site_fract_z
K1 0.0000 0.0000 0.0000
Rb1 0.2500 0.2500 0.2500
W1 0.0000 0.0000 0.5000
Br1 0.0000 0.0000 0.2729
```

**Magnetization**: 12.00 μB per cell
**Fermi-level density of states**: 0.00 states/eV/f.u.
**Calculated volume**: 1501.5 Å³/cell
**Energy above the most stable polymorph in this dataset**: 0.0171 eV per atom
**ΔE_f (raw)**: -11.31 eV/f.u.